1.
Material: La8Te4P3Se
Method: DFT, PBE-GGA
State: optimized geometry

Properties
E_form (uncorrected) in eV per atom: -1.7057
Crystal system: trigonal

```
data_La8Te4P3Se
_chemical_formula_sum 'La8 Te4 P3 Se1'
_space_group_name_H-M_alt 'P 1'
_space_group_IT_number 1
_cell_length_a 8.745
_cell_length_b 8.994
_cell_length_c 8.745
_cell_angle_alpha 119.09
_cell_angle_beta 120.00
_cell_angle_gamma 90.00
loop_
_space_group_symop_operation_xyz
'x,y,z'
loop_
_atom_site_label
_atom_site_fract_x
_atom_site_fract_y
_atom_site_fract_z
La1 0.244 0.718 0.974
La2 0.244 0.718 0.487
La3 0.262 0.285 0.523
La4 0.731 0.718 0.974
La5 0.269 0.282 0.026
La6 0.738 0.715 0.477
La7 0.756 0.282 0.513
La8 0.756 0.282 0.026
Te1 0.500 0.000 0.000
Te2 0.500 0.000 0.500
Te3 0.000 0.000 0.000
Te4 0.000 0.000 0.500
P1 0.500 0.500 0.000
P2 0.500 0.500 0.500
P3 0.000 0.500 0.500
Se1 0.000 0.500 0.000
```

***

2.
Material: Tl2HgCl
Method: DFT, PBE-GGA
State: optimized geometry

Properties
Offset from the most stable computed form in eV/atom: 0.194
E_form (uncorrected) in eV per atom: -0.2529
Crystal system: cubic

```
data_Tl2HgCl
_chemical_formula_sum 'Tl2 Hg1 Cl1'
_space_group_name_H-M_alt 'P 1'
_space_group_IT_number 1
_cell_length_a 5.543
_cell_length_b 5.543
_cell_length_c 5.543
_cell_angle_alpha 60.00
_cell_angle_beta 60.00
_cell_angle_gamma 60.00
loop_
_space_group_symop_operation_xyz
'x,y,z'
loop_
_atom_site_label
_atom_site_fract_x
_atom_site_fract_y
_atom_site_fract_z
Tl1 0.000 0.000 0.000
Tl2 0.250 0.250 0.250
Hg1 0.750 0.750 0.750
Cl1 0.500 0.500 0.500
```